A plane-wave DFT calculation with PBE was carried out for an optimized crystal structure of InGe2AsPd.

Cell and atoms, written as extended XYZ:
```
5
Lattice="-2.8758 1.9539 -3.8209 2.9025 -2.2641 -3.3424 -3.0534 -4.1636 0.1689" Properties=species:S:1:pos:R:3 pbc="T T T"
Ge -1.4379 0.9770 -1.9105
Ge -1.5267 -2.0818 0.0845
Pd 1.4512 -1.1320 -1.6712
As -1.5134 -2.2369 -3.4972
In 0.0000 0.0000 0.0000
```

Calculated values
* V: 132.7 Å³ per cell
* symmetry: No. 123
* E_tot: -17.0 eV for the cell shown
* energy of formation from the pure elements: 954 meV per atom